ThTcS: relaxed, PBE.

## Properties
calculated density	9.2	g/cm³
total DFT energy (no corrections)	-8.100	eV/atom
total magnetization	0.00	μB per formula unit

Lattice parameters (Å, degrees): 3.698 3.698 9.559 90.00 90.00 90.00
Atoms (fractional coordinates):
Tc  0.000  0.500  0.517
Tc  0.500  0.000  0.483
Th  0.000  0.500  0.226
Th  0.500  0.000  0.774
S  0.500  0.000  0.111
S  0.000  0.500  0.889

Th3TcS6: relaxed, PBE.

## Properties
calculated density	7.1	g/cm³
total DFT energy (no corrections)	-7.252	eV/atom
total magnetization	0.26	μB per formula unit

Lattice parameters (Å, degrees): 7.809 7.809 7.809 97.77 97.77 97.77
Site moments in Bohr magnetons follow the coordinates.
Atoms (fractional coordinates):
Th  0.374  0.883  0.714  0.03
Th  0.883  0.714  0.374  0.03
Th  0.286  0.626  0.117  0.03
Th  0.714  0.374  0.883  0.03
Th  0.117  0.286  0.626  0.03
Th  0.626  0.117  0.286  0.03
Tc  0.000  0.000  0.000  -0.01
Tc  0.500  0.500  0.500  0.24
S  0.310  0.980  0.067  0.00
S  0.020  0.933  0.690  0.00
S  0.559  0.804  0.429  0.00
S  0.933  0.690  0.020  0.00
S  0.429  0.559  0.804  0.00
S  0.196  0.571  0.441  0.00
S  0.804  0.429  0.559  0.00
S  0.571  0.441  0.196  0.00
S  0.067  0.310  0.980  0.00
S  0.441  0.196  0.571  0.00
S  0.980  0.067  0.310  0.00
S  0.690  0.020  0.933  0.00

ThTcS2: relaxed, PBE.

## Properties
calculated density	7.0	g/cm³
total DFT energy (no corrections)	-6.775	eV/atom
total magnetization	0.00	μB per formula unit

Lattice parameters (Å, degrees): 3.827 3.827 7.680 75.57 75.57 60.00
Atoms (fractional coordinates):
S  0.121  0.121  0.636
S  0.879  0.879  0.364
Tc  0.500  0.500  0.500
Th  0.000  0.000  0.000

Th2TcS: relaxed, PBE.

## Properties
calculated density	10.4	g/cm³
total magnetization	0.00	μB per formula unit
relative energy among the computed polymorphs	0.0	kJ/mol of atoms

Lattice parameters (Å, degrees): 4.014 4.008 11.958 99.65 90.00 90.00
Atoms (fractional coordinates):
Th  0.750  0.685  0.370
Th  0.250  0.315  0.630
Th  0.750  0.933  0.866
Th  0.250  0.067  0.134
Tc  0.250  0.457  0.915
Tc  0.750  0.543  0.085
S  0.250  0.191  0.382
S  0.750  0.809  0.618

Th2TcS: relaxed, PBE.

## Properties
calculated density	9.8	g/cm³
total magnetization	0.00	μB per formula unit
relative energy among the computed polymorphs	69.9	kJ/mol of atoms

Lattice parameters (Å, degrees): 3.571 3.571 9.349 78.99 78.99 60.00
Atoms (fractional coordinates):
S  0.500  0.500  0.500
Tc  0.000  0.000  0.000
Th  0.093  0.093  0.722
Th  0.907  0.907  0.278

TiTc2S2: relaxed, PBE.

## Properties
calculated density	7.0	g/cm³
total magnetization	0.00	μB per formula unit
relative energy among the computed polymorphs	6.7	kJ/mol of atoms

Lattice parameters (Å, degrees): 6.910 6.910 3.040 90.00 90.00 90.00
Atoms (fractional coordinates):
S  0.163  0.663  0.500
S  0.663  0.837  0.500
S  0.837  0.337  0.500
S  0.337  0.163  0.500
Tc  0.359  0.859  0.000
Tc  0.859  0.641  0.000
Tc  0.641  0.141  0.000
Tc  0.141  0.359  0.000
Ti  0.000  0.000  0.000
Ti  0.500  0.500  0.000

TiTcS2: relaxed, PBE.

## Properties
calculated density	5.4	g/cm³
total magnetization	0.00	μB per formula unit
relative energy among the computed polymorphs	6.3	kJ/mol of atoms

Lattice parameters (Å, degrees): 8.066 8.066 8.066 21.92 21.92 21.92
Atoms (fractional coordinates):
S  0.902  0.902  0.902
S  0.098  0.098  0.098
Tc  0.000  0.000  0.000
Ti  0.500  0.500  0.500

Ti2TcS: relaxed, PBE.

## Properties
calculated density	6.0	g/cm³
total DFT energy (no corrections)	-7.784	eV/atom
total magnetization	0.00	μB per formula unit

Lattice parameters (Å, degrees): 6.755 6.755 5.502 52.13 52.13 90.00
Atoms (fractional coordinates):
S  0.500  0.500  0.000
S  0.250  0.750  0.500
Tc  0.000  0.000  0.000
Tc  0.750  0.250  0.500
Ti  0.600  0.125  0.250
Ti  0.150  0.625  0.250
Ti  0.375  0.400  0.750
Ti  0.875  0.850  0.750

TiTcS2: relaxed, PBE.

## Properties
calculated density	6.4	g/cm³
total magnetization	0.00	μB per formula unit
relative energy among the computed polymorphs	6.2	kJ/mol of atoms

Lattice parameters (Å, degrees): 4.263 4.263 4.263 60.00 60.00 60.00
Atoms (fractional coordinates):
S  0.250  0.250  0.250
S  0.750  0.750  0.750
Tc  0.500  0.500  0.500
Ti  0.000  0.000  0.000

Ti2TcS4: relaxed, PBE.

## Properties
calculated density	4.1	g/cm³
total DFT energy (no corrections)	-6.424	eV/atom
total magnetization	0.81	μB per formula unit

Lattice parameters (Å, degrees): 4.709 4.709 6.810 69.77 69.77 90.00
Site moments in Bohr magnetons follow the coordinates.
Atoms (fractional coordinates):
S  0.201  0.201  0.597  -0.04
S  0.799  0.799  0.403  -0.04
S  0.000  0.500  0.000  -0.04
S  0.500  0.000  0.000  -0.04
Tc  0.000  0.000  0.000  -0.47
Ti  0.386  0.386  0.229  0.64
Ti  0.614  0.614  0.771  0.64

TiTcS2: relaxed, PBE.

## Properties
calculated density	4.9	g/cm³
total magnetization	0.00	μB per formula unit
relative energy among the computed polymorphs	0.0	kJ/mol of atoms

Lattice parameters (Å, degrees): 4.659 4.659 7.348 71.52 71.52 90.00
Atoms (fractional coordinates):
S  0.636  0.125  0.250
S  0.114  0.625  0.250
S  0.375  0.364  0.750
S  0.875  0.886  0.750
Tc  0.000  0.000  0.000
Tc  0.750  0.250  0.500
Ti  0.500  0.500  0.000
Ti  0.250  0.750  0.500

Ti2TcS: relaxed, PBE.

## Properties
calculated density	6.0	g/cm³
total DFT energy (no corrections)	-8.273	eV/atom
total magnetization	0.00	μB per formula unit

Lattice parameters (Å, degrees): 3.182 3.182 7.329 77.46 77.46 60.00
Atoms (fractional coordinates):
S  0.000  0.000  0.000
Tc  0.500  0.500  0.500
Ti  0.746  0.746  0.763
Ti  0.254  0.254  0.237

TiTc2S2: relaxed, PBE.

## Properties
calculated density	6.4	g/cm³
total magnetization	0.00	μB per formula unit
relative energy among the computed polymorphs	0.0	kJ/mol of atoms

Lattice parameters (Å, degrees): 4.298 4.298 5.263 65.90 65.90 90.00
Atoms (fractional coordinates):
S  0.750  0.250  0.500
S  0.250  0.750  0.500
Tc  0.359  0.359  0.281
Tc  0.641  0.641  0.719
Ti  0.000  0.000  0.000

TlTcS2: relaxed, PBE.

## Properties
calculated density	6.0	g/cm³
total magnetization	0.00	μB per formula unit
relative energy among the computed polymorphs	3.1	kJ/mol of atoms

Lattice parameters (Å, degrees): 6.911 6.911 6.485 57.80 57.80 90.00
Atoms (fractional coordinates):
S  0.515  0.125  0.250
S  0.235  0.625  0.250
S  0.375  0.485  0.750
S  0.875  0.765  0.750
Tl  0.000  0.000  0.000
Tl  0.750  0.250  0.500
Tc  0.500  0.500  0.000
Tc  0.250  0.750  0.500

TlTcS2: relaxed, PBE.

## Properties
calculated density	7.5	g/cm³
total magnetization	0.00	μB per formula unit
relative energy among the computed polymorphs	71.6	kJ/mol of atoms

Lattice parameters (Å, degrees): 10.224 10.224 10.224 17.17 17.17 17.17
Atoms (fractional coordinates):
S  0.926  0.926  0.926
S  0.074  0.074  0.074
Tl  0.500  0.500  0.500
Tc  0.000  0.000  0.000

TlTc6S8: relaxed, PBE.

## Properties
calculated density	6.2	g/cm³
total DFT energy (no corrections)	-7.016	eV/atom
total magnetization	0.00	μB per formula unit

Lattice parameters (Å, degrees): 6.560 6.560 6.560 89.54 89.54 89.54
Atoms (fractional coordinates):
Tl  0.000  0.000  0.000
Tc  0.582  0.436  0.767
Tc  0.436  0.767  0.582
Tc  0.767  0.582  0.436
Tc  0.418  0.564  0.233
Tc  0.564  0.233  0.418
Tc  0.233  0.418  0.564
S  0.750  0.750  0.750
S  0.250  0.250  0.250
S  0.620  0.877  0.267
S  0.877  0.267  0.620
S  0.267  0.620  0.877
S  0.380  0.123  0.733
S  0.123  0.733  0.380
S  0.733  0.380  0.123

TlTc3S2: relaxed, PBE.

## Properties
calculated density	7.8	g/cm³
total DFT energy (no corrections)	-7.221	eV/atom
total magnetization	0.00	μB per formula unit

Lattice parameters (Å, degrees): 3.043 6.835 11.799 87.65 90.00 102.86
Atoms (fractional coordinates):
Tl  0.874  0.747  0.981
Tl  0.126  0.253  0.019
Tc  0.241  0.483  0.587
Tc  0.910  0.820  0.560
Tc  0.565  0.130  0.638
Tc  0.435  0.870  0.362
Tc  0.090  0.180  0.440
Tc  0.759  0.517  0.413
S  0.395  0.790  0.714
S  0.605  0.210  0.286
S  0.860  0.720  0.242
S  0.140  0.280  0.758

TlTc2S3: relaxed, PBE.

## Properties
calculated density	5.8	g/cm³
total DFT energy (no corrections)	-6.262	eV/atom
total magnetization	0.00	μB per formula unit

Lattice parameters (Å, degrees): 5.547 7.355 7.347 109.20 89.49 90.45
Atoms (fractional coordinates):
Tl  0.754  0.171  0.330
Tl  0.246  0.829  0.670
Tc  0.000  0.648  0.149
Tc  0.500  0.352  0.851
Tc  0.000  0.352  0.851
Tc  0.500  0.648  0.149
S  0.753  0.620  0.881
S  0.247  0.380  0.119
S  0.747  0.105  0.855
S  0.253  0.895  0.145
S  0.747  0.642  0.396
S  0.253  0.358  0.604

Tl2TcS4: relaxed, PBE.

## Properties
calculated density	6.3	g/cm³
total DFT energy (no corrections)	-4.588	eV/atom
total magnetization	0.00	μB per formula unit

Lattice parameters (Å, degrees): 4.527 4.527 8.812 75.12 75.12 90.00
Atoms (fractional coordinates):
S  0.153  0.153  0.695
S  0.847  0.847  0.305
S  0.000  0.500  0.000
S  0.500  0.000  0.000
Tl  0.338  0.338  0.324
Tl  0.662  0.662  0.676
Tc  0.000  0.000  0.000

TlTcS2: relaxed, PBE.

## Properties
calculated density	7.2	g/cm³
total magnetization	1.59	μB per formula unit
relative energy among the computed polymorphs	0.0	kJ/mol of atoms

Lattice parameters (Å, degrees): 3.427 3.427 8.536 78.42 78.42 60.00
Site moments in Bohr magnetons follow the coordinates.
Atoms (fractional coordinates):
S  0.277  0.277  0.170  0.06
S  0.723  0.723  0.830  0.06
Tl  0.500  0.500  0.500  0.01
Tc  0.000  0.000  0.000  1.29

Tl2Tc2S3: relaxed, PBE.

## Properties
calculated density	7.1	g/cm³
total DFT energy (no corrections)	-5.599	eV/atom
total magnetization	0.00	μB per formula unit

Lattice parameters (Å, degrees): 3.567 5.657 9.413 60.53 95.66 88.75
Atoms (fractional coordinates):
Tl  0.876  0.159  0.626
Tl  0.124  0.841  0.374
Tc  0.495  0.238  0.018
Tc  0.505  0.762  0.982
S  0.000  0.000  0.000
S  0.562  0.353  0.222
S  0.438  0.647  0.778

TlTcS2: relaxed, PBE.

## Properties
calculated density	8.8	g/cm³
total magnetization	0.00	μB per formula unit
relative energy among the computed polymorphs	72.3	kJ/mol of atoms

Lattice parameters (Å, degrees): 4.612 4.612 4.612 60.00 60.00 60.00
Atoms (fractional coordinates):
S  0.250  0.250  0.250
S  0.750  0.750  0.750
Tl  0.500  0.500  0.500
Tc  0.000  0.000  0.000

TlTc3S: relaxed, PBE.

## Properties
calculated density	6.3	g/cm³
total magnetization	10.30	μB per formula unit
relative energy among the computed polymorphs	205.7	kJ/mol of atoms

Lattice parameters (Å, degrees): 5.181 5.181 5.181 90.00 90.00 90.00
Site moments in Bohr magnetons follow the coordinates.
Atoms (fractional coordinates):
S  0.500  0.500  0.500  0.14
Tl  0.000  0.000  0.000  -0.06
Tc  0.000  0.500  0.000  3.01
Tc  0.000  0.000  0.500  3.20
Tc  0.500  0.000  0.000  2.71

TlTc3S: relaxed, PBE.

## Properties
calculated density	10.2	g/cm³
total magnetization	1.74	μB per formula unit
relative energy among the computed polymorphs	0.0	kJ/mol of atoms

Lattice parameters (Å, degrees): 4.417 4.417 4.417 90.00 90.00 90.00
Site moments in Bohr magnetons follow the coordinates.
Atoms (fractional coordinates):
S  0.000  0.000  0.000  -0.02
Tl  0.500  0.500  0.500  -0.03
Tc  0.000  0.500  0.000  0.54
Tc  0.000  0.000  0.500  0.51
Tc  0.500  0.000  0.000  0.62

U3Tl3TcS8: relaxed, PBE.

## Properties
calculated density	7.3	g/cm³
total DFT energy (no corrections)	-6.553	eV/atom
total magnetization	6.00	μB per formula unit

Lattice parameters (Å, degrees): 7.445 7.444 9.069 114.24 90.00 120.00
Site moments in Bohr magnetons follow the coordinates.
Atoms (fractional coordinates):
U  0.500  0.000  0.500  2.07
U  0.500  0.500  0.500  2.07
U  0.000  0.500  0.500  2.07
Tl  0.000  0.000  0.000  0.00
Tl  0.000  0.500  0.000  0.00
Tl  0.500  0.500  0.000  0.00
Tc  0.000  0.000  0.500  -0.53
S  0.264  0.529  0.293  -0.06
S  0.736  0.471  0.707  -0.06
S  0.782  0.563  0.310  -0.05
S  0.218  0.437  0.690  -0.05
S  0.782  0.029  0.310  -0.05
S  0.218  0.971  0.690  -0.05
S  0.247  0.029  0.310  -0.05
S  0.753  0.971  0.690  -0.05